No. 1
DFT (PBE) results for a relaxed structure of NbGeO4.

- Fermi-level density of states: 2.5 states/eV/f.u.
- Final energy: -90.43 eV per cell
- Energy relative to the elements, uncorrected: -1.783 eV per atom

Cell: 4.942 4.942 9.339 Å, 90.00 90.00 90.00°
Atoms (fractional coordinates):
Nb1 0.000 0.000 0.000
Nb2 0.000 0.000 0.500
Ge1 0.000 0.500 0.250
Ge2 0.500 0.000 0.750
O1 0.169 0.262 0.381
O2 0.169 0.738 0.119
O3 0.262 0.169 0.881
O4 0.262 0.831 0.619
O5 0.738 0.169 0.619
O6 0.738 0.831 0.881
O7 0.831 0.262 0.119
O8 0.831 0.738 0.381

=====

No. 2
DFT (PBE) results for a relaxed structure of Nb2GeO.

- Fermi-level density of states: 0.1 states/eV/f.u.
- Final energy: -31.22 eV per cell
- Energy relative to the elements, uncorrected: -0.376 eV per atom

Cell: 4.345 4.345 4.345 Å, 60.00 60.00 60.00°
Atoms (fractional coordinates):
Nb1 0.250 0.250 0.250
Nb2 0.750 0.750 0.750
Ge1 0.000 0.000 0.000
O1 0.500 0.500 0.500

=====

No. 3
DFT (PBE) results for a relaxed structure of Nb3GeO.

- Fermi-level density of states: 2.8 states/eV/f.u.
- Final energy: -43.40 eV per cell
- Energy relative to the elements, uncorrected: -0.724 eV per atom

Cell: 4.244 4.244 4.244 Å, 90.00 90.00 90.00°
Atoms (fractional coordinates):
Nb1 0.000 0.000 0.500
Nb2 0.000 0.500 0.000
Nb3 0.500 0.000 0.000
Ge1 0.500 0.500 0.500
O1 0.000 0.000 0.000